DFT (PBE-GGA) results for a geometry-optimized MnSN2 structure.

Values from the calculation:
- Distance to the lowest polymorph of the same formula: 1239 meV/atom
- Space group: Fm-3m (225)
- Formation energy (no corrections): 6.6 eV/f.u.
- Mass density: 5.5 g/cm3

a = 3.6652 Å, b = 3.6652 Å, c = 3.6652 Å
α = 60.00°, β = 60.00°, γ = 60.00°
Last column: nearest neighbours and their distance in Å.
Atoms (fractional coordinates):
Mn1 0.5000 0.5000 0.5000  8 N 2.24
N1 0.7500 0.7500 0.7500  4 S 2.24, 4 Mn 2.24
S1 0.0000 0.0000 0.0000  8 N 2.24
N2 0.2500 0.2500 0.2500  4 Mn 2.24, 4 S 2.24